# KSr2GaPd

KSr2GaPd after structural relaxation (PBE-GGA, the Alexandria database).

Structure (POSCAR):
```
KSr2GaPd
1.0
6.056 0.000 0.000
0.000 6.056 0.000
0.000 0.000 5.012
K Sr Ga Pd
1 2 1 1
Direct
0.000 0.000 0.000
0.000 0.500 0.500
0.500 0.000 0.500
0.500 0.500 0.000
0.500 0.500 0.500
```

Summary:
space-group type = No. 123
ΔE_f = -0.25 eV per atom
volume = 183.8 Å³/f.u.